Record 1
# TbYTa2Si2

Crystalline TbYTa2Si2 at its relaxed geometry (PBE, OQMD).

The total energy is -8.22 eV per atom. As for the symmetry: No. 99. Its total magnetization is 0.172 μB per atom.

abc: 4.0052 4.0052 7.7947
angles: 90.00 90.00 90.00
Closest atoms and distances in Å follow each position.
Element x y z (fractional)
Tb  0.0000  0.0000  0.0000  5 Si 2.97-3.19
Y  0.5000  0.5000  0.2946  5 Si 2.97-3.19
Ta  0.0000  0.5000  0.6472  4 Si 2.73, 4 Ta 2.83
Ta  0.5000  0.0000  0.6472  4 Si 2.73, 4 Ta 2.83
Si  0.0000  0.0000  0.4093  4 Ta 2.73, 4 Y 2.97
Si  0.5000  0.5000  0.8850  4 Ta 2.73, 4 Tb 2.97

Record 2
# Ta2Si2Tc

Crystalline Ta2Si2Tc at its relaxed geometry (PBE, OQMD).

The offset from the most stable computed form is 820 meV per atom. As for the symmetry: No. 139. Its total magnetization is 0.342 μB per atom.

abc: 3.8567 3.8567 11.2540
angles: 90.00 90.00 90.00
Closest atoms and distances in Å follow each position.
Element x y z (fractional)
Ta  0.0000  0.5000  0.2500  4 Si 2.59, 4 Ta 2.73
Ta  0.0000  0.5000  0.7500  4 Si 2.59, 4 Ta 2.73
Ta  0.5000  0.0000  0.2500  4 Si 2.59, 4 Ta 2.73
Ta  0.5000  0.0000  0.7500  4 Si 2.59, 4 Ta 2.73
Si  0.0000  0.0000  0.0963  1 Si 2.17
Si  0.0000  0.0000  0.9037  1 Si 2.17
Si  0.5000  0.5000  0.4037  1 Si 2.17
Si  0.5000  0.5000  0.5963  1 Si 2.17
Tc  0.0000  0.0000  0.5000  8 Si 2.93
Tc  0.5000  0.5000  0.0000  8 Si 2.93

Record 3
# Ta2Si2Tc

Crystalline Ta2Si2Tc at its relaxed geometry (PBE, OQMD).

The offset from the most stable computed form is 0 meV per atom. As for the symmetry: No. 127. Its total magnetization is 0.000 μB per atom.

abc: 6.2858 6.2858 3.8687
angles: 90.00 90.00 90.00
Closest atoms and distances in Å follow each position.
Element x y z (fractional)
Ta  0.1650  0.3350  0.0000  6 Si 2.61-2.72
Ta  0.3350  0.8350  0.0000  6 Si 2.61-2.72
Ta  0.6650  0.1650  0.0000  6 Si 2.61-2.72
Ta  0.8350  0.6650  0.0000  6 Si 2.61-2.72
Si  0.1372  0.6372  0.5000  2 Tc 2.44, 1 Si 2.44, 6 Ta 2.61-2.72
Si  0.3628  0.1372  0.5000  2 Tc 2.44, 1 Si 2.44, 6 Ta 2.61-2.72
Si  0.6372  0.8628  0.5000  2 Tc 2.44, 1 Si 2.44, 6 Ta 2.61-2.72
Si  0.8628  0.3628  0.5000  2 Tc 2.44, 1 Si 2.44, 6 Ta 2.61-2.72
Tc  0.0000  0.0000  0.5000  4 Si 2.44
Tc  0.5000  0.5000  0.5000  4 Si 2.44